Crystalline Cs8K5Pd at its relaxed geometry, computed with GGA-PBE.

The structure belongs to space group I-4 (No. 82); the cell edges are 13.894, 13.894 and 12.286 Å and the angles 90.00°, 90.00° and 90.00°. The distinct sites, in fractional coordinates, are Cs at (0.055, 0.149, 0.290), Cs at (0.123, 0.213, 0.944), K at (0.000, 0.500, 0.250), K at (0.061, 0.349, 0.603) and Pd at (0.000, 0.000, 0.000).

As for the magnetization: 0.00 μB per atom. The calculation puts the formation energy at 0.0421 eV/atom.

Crystalline Nd4Cd2Au at its relaxed geometry, computed with GGA-PBE.

The structure belongs to space group R-3m (No. 166, hexagonal axes); the cell edges are 5.3367, 5.3367 and 26.0581 Å and the angles 90.00°, 90.00° and 120.00°. The distinct sites, in fractional coordinates, are Nd at (0.0000, 0.0000, 0.1241), Nd at (0.0000, 0.0000, 0.3748), Cd at (0.0000, 0.0000, 0.2473) and Au at (0.0000, 0.0000, 0.0000).

As for the magnetization: 0.00 μB per atom. The calculation puts the formation energy at -0.2607 eV/atom.

Crystalline Tb4SmIn5 at its relaxed geometry, computed with GGA-PBE.

The structure belongs to space group P4/mmm (No. 123); the cell edges are 3.779, 3.779 and 18.991 Å and the angles 90.00°, 90.00° and 90.00°. The distinct sites, in fractional coordinates, are Tb at (0.000, 0.000, 0.099), Tb at (0.000, 0.000, 0.297), Sm at (0.000, 0.000, 0.500), In at (0.500, 0.500, 0.000), In at (0.500, 0.500, 0.198) and In at (0.500, 0.500, 0.396).

As for the magnetization: 0.00 μB per atom. The calculation puts the formation energy at -0.4791 eV/atom.

Crystalline HgSe3Br at its relaxed geometry, computed with GGA-PBE.

The structure belongs to space group Pm-3m (No. 221); the cell edges are 5.246, 5.246 and 5.246 Å and the angles 90.00°, 90.00° and 90.00°. The distinct sites, in fractional coordinates, are Hg at (0.000, 0.000, 0.000), Se at (0.000, 0.500, 0.500) and Br at (0.500, 0.500, 0.500).

The formation energy from raw total energies comes out at 0.822 eV/atom. As for the magnetization: 0.00 μB per atom. For the energy above the most stable polymorph in this dataset, the calculation gives 0.28 kcal/mol of atoms.

Crystalline Li5MgPd6 at its relaxed geometry, computed with GGA-PBE.

The structure belongs to space group P2/m (No. 10); the cell edges are 4.267, 6.119 and 6.729 Å and the angles 90.00°, 108.32° and 90.00°. The distinct sites, in fractional coordinates, are Li at (0.000, 0.000, 0.000), Li at (0.332, 0.500, 0.665), Li at (0.334, 0.000, 0.668), Mg at (0.000, 0.500, 0.000), Pd at (0.169, 0.245, 0.338) and Pd at (0.500, 0.243, 0.000).

As for the magnetization: 0.00 μB per atom. The calculation puts the formation energy at -0.4863 eV/atom.

Crystalline Cd2Fe2N at its relaxed geometry, computed with GGA-PBE.

The structure belongs to space group P4/mbm (No. 127); the cell edges are 6.099, 6.099 and 4.450 Å and the angles 90.00°, 90.00° and 90.00°. The distinct sites, in fractional coordinates, are Cd at (0.164, 0.336, 0.000), Fe at (0.134, 0.634, 0.500) and N at (0.000, 0.000, 0.000).

The formation energy from raw total energies comes out at 1.067 eV/atom. As for the magnetization: 1.16 μB per atom. For the energy above the most stable polymorph in this dataset, the calculation gives 18.21 kcal/mol of atoms.

Question: Among the records above, which one has the highest magnetization?
Answer: Cd2Fe2N

Question: What is the formula in the fifth record?
Answer: Li5MgPd6

Question: Which value of magnetization does entry 6 give?
Answer: 1.16 μB per atom

Question: Which value of magnetization does entry 3 give?
Answer: 0.00 μB per atom